Here is a geometry-optimized Rb2OsPbI6 structure from Alexandria. Energies are from PBE-GGA.

POSCAR file:
```
Rb2OsPbI6
1.0
8.361 0.000 0.000
0.000 8.361 0.000
4.180 4.180 5.908
Pb I Os Rb
1 6 1 2
Direct
0.000 0.000 0.000
0.269 0.269 0.461
0.731 0.731 0.539
0.269 0.269 0.000
0.731 0.731 0.000
0.731 0.269 0.000
0.269 0.731 0.000
0.500 0.500 0.000
0.750 0.250 0.500
0.250 0.750 0.500
```

Values from the calculation:
- size of the total moment (μB/atom) = 0.000
- E_form (uncorrected) (meV per atom) = -514
- VASP energy (eV/atom) = -3.131

Here is a geometry-optimized OsRhPb2I structure from Alexandria. Energies are from PBE-GGA.

POSCAR file:
```
OsRhPb2I
1.0
-1.657 -5.012 1.651
1.525 -1.858 -4.112
4.971 -0.902 2.251
Pb I Os Rh
2 1 1 1
Direct
0.000 0.000 0.500
0.500 0.000 0.000
0.500 0.500 0.500
0.000 0.500 0.000
0.000 0.000 0.000
```

Values from the calculation:
- size of the total moment (μB/atom) = 0.278
- E_form (uncorrected) (meV per atom) = 853
- VASP energy (eV/atom) = -4.656

Here is a geometry-optimized SbOsPbI2 structure from Alexandria. Energies are from PBE-GGA.

POSCAR file:
```
SbOsPbI2
1.0
-2.828 -5.408 0.106
4.583 -2.333 3.288
-2.885 1.610 5.163
Pb I Os Sb
1 2 1 1
Direct
0.000 0.000 0.000
0.000 0.500 0.000
0.500 0.000 0.000
0.500 0.500 0.500
0.000 0.000 0.500
```

Values from the calculation:
- size of the total moment (μB/atom) = 0.551
- E_form (uncorrected) (meV per atom) = 1629
- VASP energy (eV/atom) = -2.803

Here is a geometry-optimized SbOsPbI2 structure from Alexandria. Energies are from PBE-GGA.

POSCAR file:
```
SbOsPbI2
1.0
5.603 0.000 0.000
0.000 5.603 0.000
0.000 0.000 5.032
Pb I Os Sb
1 2 1 1
Direct
0.500 0.500 0.500
0.000 0.500 0.000
0.500 0.000 0.000
0.000 0.000 0.000
0.000 0.000 0.500
```

Values from the calculation:
- size of the total moment (μB/atom) = 0.000
- E_form (uncorrected) (meV per atom) = 580
- VASP energy (eV/atom) = -3.852

Here is a geometry-optimized Te2OsPbI structure from Alexandria. Energies are from PBE-GGA.

POSCAR file:
```
Te2OsPbI
1.0
-3.079 3.521 2.358
-3.781 -3.598 0.435
2.044 -1.546 4.978
Pb I Te Os
1 1 2 1
Direct
0.500 0.500 0.500
0.000 0.000 0.500
0.000 0.500 0.000
0.500 0.000 0.000
0.000 0.000 0.000
```

Values from the calculation:
- size of the total moment (μB/atom) = 0.081
- E_form (uncorrected) (meV per atom) = 501
- VASP energy (eV/atom) = -4.054

Here is a geometry-optimized Te2OsPbI structure from Alexandria. Energies are from PBE-GGA.

POSCAR file:
```
Te2OsPbI
1.0
-2.301 2.673 -4.683
-2.120 -5.285 -1.975
-4.982 0.894 2.958
Pb I Te Os
1 1 2 1
Direct
0.000 0.000 0.000
0.000 0.500 0.000
0.000 0.000 0.500
0.500 0.000 0.000
0.500 0.500 0.500
```

Values from the calculation:
- size of the total moment (μB/atom) = 0.979
- E_form (uncorrected) (meV per atom) = 1668
- VASP energy (eV/atom) = -2.886

Here is a geometry-optimized TeOsPbI2 structure from Alexandria. Energies are from PBE-GGA.

POSCAR file:
```
TeOsPbI2
1.0
5.515 0.000 0.000
0.000 5.515 0.000
0.000 0.000 5.151
Pb I Te Os
1 2 1 1
Direct
0.500 0.500 0.500
0.000 0.500 0.000
0.500 0.000 0.000
0.000 0.000 0.500
0.000 0.000 0.000
```

Values from the calculation:
- size of the total moment (μB/atom) = 0.000
- E_form (uncorrected) (meV per atom) = 493
- VASP energy (eV/atom) = -3.743

Here is a geometry-optimized TeOsPbI2 structure from Alexandria. Energies are from PBE-GGA.

POSCAR file:
```
TeOsPbI2
1.0
-2.814 -5.285 1.230
2.522 -0.047 5.568
-4.709 3.009 2.158
Pb I Te Os
1 2 1 1
Direct
0.000 0.000 0.000
0.000 0.500 0.000
0.500 0.000 0.000
0.000 0.000 0.500
0.500 0.500 0.500
```

Values from the calculation:
- size of the total moment (μB/atom) = 1.123
- E_form (uncorrected) (meV per atom) = 1469
- VASP energy (eV/atom) = -2.767

Here is a geometry-optimized YOsPbI2 structure from Alexandria. Energies are from PBE-GGA.

POSCAR file:
```
YOsPbI2
1.0
-1.560 -5.372 1.926
4.865 -1.773 -1.004
1.671 1.480 5.479
Pb I Os Y
1 2 1 1
Direct
0.500 0.500 0.500
0.000 0.000 0.500
0.500 0.000 0.000
0.000 0.500 0.000
0.000 0.000 0.000
```

Values from the calculation:
- size of the total moment (μB/atom) = 0.237
- E_form (uncorrected) (meV per atom) = 629
- VASP energy (eV/atom) = -4.271

Here is a geometry-optimized OsPd2I structure from Alexandria. Energies are from PBE-GGA.

POSCAR file:
```
OsPd2I
1.0
0.739 -1.997 4.116
-3.022 -3.104 1.646
1.170 -4.478 0.226
I Os Pd
1 1 2
Direct
0.000 0.000 0.000
0.500 0.500 0.500
0.250 0.250 0.250
0.750 0.750 0.750
```

Values from the calculation:
- size of the total moment (μB/atom) = 0.000
- E_form (uncorrected) (meV per atom) = 1008
- VASP energy (eV/atom) = -4.783

Here is a geometry-optimized OsPdI2 structure from Alexandria. Energies are from PBE-GGA.

POSCAR file:
```
OsPdI2
1.0
6.349 0.000 0.000
0.000 6.349 0.000
3.174 3.174 5.522
I Os Pd
4 2 2
Direct
0.642 0.125 0.250
0.108 0.625 0.250
0.375 0.358 0.750
0.875 0.892 0.750
0.000 0.000 0.000
0.750 0.250 0.500
0.500 0.500 0.000
0.250 0.750 0.500
```

Values from the calculation:
- size of the total moment (μB/atom) = 0.000
- E_form (uncorrected) (meV per atom) = 816
- VASP energy (eV/atom) = -4.065

Here is a geometry-optimized OsPdI3 structure from Alexandria. Energies are from PBE-GGA.

POSCAR file:
```
OsPdI3
1.0
5.433 0.000 0.000
0.000 5.433 0.000
0.000 0.000 5.433
I Os Pd
3 1 1
Direct
0.000 0.500 0.000
0.000 0.000 0.500
0.500 0.000 0.000
0.000 0.000 0.000
0.500 0.500 0.500
```

Values from the calculation:
- size of the total moment (μB/atom) = 0.469
- E_form (uncorrected) (meV per atom) = 1001
- VASP energy (eV/atom) = -3.214

Here is a geometry-optimized OsPd2I structure from Alexandria. Energies are from PBE-GGA.

POSCAR file:
```
OsPd2I
1.0
6.661 0.000 0.000
0.000 6.661 0.000
3.330 3.330 4.370
I Os Pd
2 2 4
Direct
0.500 0.500 0.000
0.250 0.750 0.500
0.000 0.000 0.000
0.750 0.250 0.500
0.663 0.125 0.250
0.087 0.625 0.250
0.375 0.337 0.750
0.875 0.913 0.750
```

Values from the calculation:
- size of the total moment (μB/atom) = 0.000
- E_form (uncorrected) (meV per atom) = 1091
- VASP energy (eV/atom) = -4.700

Here is a geometry-optimized OsPdI2 structure from Alexandria. Energies are from PBE-GGA.

POSCAR file:
```
OsPdI2
1.0
0.030 -1.476 4.634
0.237 3.270 3.592
-3.877 0.790 2.829
I Os Pd
2 1 1
Direct
0.250 0.250 0.250
0.750 0.750 0.750
0.500 0.500 0.500
0.000 0.000 0.000
```

Values from the calculation:
- size of the total moment (μB/atom) = 0.000
- E_form (uncorrected) (meV per atom) = 1080
- VASP energy (eV/atom) = -3.801

Here is a geometry-optimized SbOsPdI2 structure from Alexandria. Energies are from PBE-GGA.

POSCAR file:
```
SbOsPdI2
1.0
-1.549 -2.165 -4.849
-1.440 -4.691 2.554
-4.600 1.779 0.675
I Sb Os Pd
2 1 1 1
Direct
0.000 0.500 0.000
0.500 0.000 0.000
0.000 0.000 0.500
0.000 0.000 0.000
0.500 0.500 0.500
```

Values from the calculation:
- size of the total moment (μB/atom) = 0.000
- E_form (uncorrected) (meV per atom) = 968
- VASP energy (eV/atom) = -3.761

Here is a geometry-optimized Si2OsPdI structure from Alexandria. Energies are from PBE-GGA.

POSCAR file:
```
Si2OsPdI
1.0
-4.189 1.510 0.471
-1.106 -4.105 3.327
1.289 2.485 3.495
I Si Os Pd
1 2 1 1
Direct
0.500 0.500 0.500
0.000 0.000 0.500
0.500 0.000 0.000
0.000 0.500 0.000
0.000 0.000 0.000
```

Values from the calculation:
- size of the total moment (μB/atom) = 0.315
- E_form (uncorrected) (meV per atom) = 1193
- VASP energy (eV/atom) = -4.570

Here is a geometry-optimized SnOsPd2I structure from Alexandria. Energies are from PBE-GGA.

POSCAR file:
```
SnOsPd2I
1.0
4.869 0.000 0.000
0.000 6.032 0.000
0.000 0.000 4.869
I Os Sn Pd
1 1 1 2
Direct
0.000 0.000 0.000
0.500 0.500 0.500
0.000 0.500 0.000
0.000 0.000 0.500
0.500 0.000 0.000
```

Values from the calculation:
- size of the total moment (μB/atom) = 0.609
- E_form (uncorrected) (meV per atom) = 1647
- VASP energy (eV/atom) = -3.787

Here is a geometry-optimized Ta2OsPdI structure from Alexandria. Energies are from PBE-GGA.

POSCAR file:
```
Ta2OsPdI
1.0
-4.698 0.711 -0.995
-1.267 -3.077 3.783
-0.074 3.778 3.048
I Os Pd Ta
1 1 1 2
Direct
0.000 0.500 0.000
0.500 0.500 0.500
0.000 0.000 0.000
0.000 0.000 0.500
0.500 0.000 0.000
```

Values from the calculation:
- size of the total moment (μB/atom) = 0.258
- E_form (uncorrected) (meV per atom) = 2184
- VASP energy (eV/atom) = -6.152

Here is a geometry-optimized Pm4OsI5 structure from Alexandria. Energies are from PBE-GGA.

POSCAR file:
```
Pm4OsI5
1.0
4.265 0.000 0.000
0.000 9.232 -0.461
-2.132 -1.784 9.667
Pm Os I
4 1 5
Direct
0.359 0.927 0.719
0.000 0.792 0.000
0.641 0.073 0.281
0.000 0.208 0.000
0.500 0.000 0.000
0.832 0.661 0.664
0.826 0.167 0.653
0.174 0.833 0.347
0.500 0.500 0.000
0.168 0.339 0.336
```

Values from the calculation:
- size of the total moment (μB/atom) = 0.000
- E_form (uncorrected) (meV per atom) = -1062
- VASP energy (eV/atom) = -4.860

Here is a geometry-optimized PmOsI structure from Alexandria. Energies are from PBE-GGA.

POSCAR file:
```
PmOsI
1.0
4.237 -0.038 0.121
2.082 3.690 0.121
-0.015 -0.009 12.351
Pm Os I
2 2 2
Direct
0.990 0.990 0.665
0.010 0.010 0.335
0.673 0.673 0.508
0.327 0.327 0.492
0.680 0.680 0.161
0.320 0.320 0.839
```

Values from the calculation:
- size of the total moment (μB/atom) = 0.000
- E_form (uncorrected) (meV per atom) = -768
- VASP energy (eV/atom) = -6.611

Here is a geometry-optimized PmOsI structure from Alexandria. Energies are from PBE-GGA.

POSCAR file:
```
PmOsI
1.0
-0.039 -2.411 4.155
4.264 -1.671 -3.707
2.423 5.020 2.935
Pm I Os
2 2 2
Direct
0.128 0.257 0.823
0.872 0.743 0.177
0.388 0.776 0.663
0.612 0.224 0.337
0.814 0.627 0.732
0.186 0.373 0.268
```

Values from the calculation:
- size of the total moment (μB/atom) = 0.000
- E_form (uncorrected) (meV per atom) = 278
- VASP energy (eV/atom) = -5.566

Here is a geometry-optimized Pm7OsI12 structure from Alexandria. Energies are from PBE-GGA.

POSCAR file:
```
Pm7OsI12
1.0
9.602 -0.101 -2.849
-3.791 8.823 -2.849
-0.067 -0.101 10.016
Pm Os I
7 1 12
Direct
0.978 0.701 0.904
0.299 0.096 0.022
0.096 0.022 0.299
0.500 0.500 0.500
0.904 0.978 0.701
0.701 0.904 0.978
0.022 0.299 0.096
0.000 0.000 0.000
0.927 0.320 0.774
0.680 0.226 0.073
0.463 0.161 0.384
0.839 0.616 0.537
0.226 0.073 0.680
0.616 0.537 0.839
0.384 0.463 0.161
0.774 0.927 0.320
0.161 0.384 0.463
0.537 0.839 0.616
0.320 0.774 0.927
0.073 0.680 0.226
```

Values from the calculation:
- size of the total moment (μB/atom) = 0.050
- E_form (uncorrected) (meV per atom) = -1236
- VASP energy (eV/atom) = -4.390

Here is a geometry-optimized Pm8OsRh3I4 structure from Alexandria. Energies are from PBE-GGA.

POSCAR file:
```
Pm8OsRh3I4
1.0
8.303 0.000 0.000
0.000 9.398 0.751
-4.151 -4.157 5.880
Pm Os Rh I
8 1 3 4
Direct
0.226 0.686 0.960
0.226 0.686 0.452
0.272 0.317 0.545
0.734 0.686 0.960
0.266 0.314 0.040
0.728 0.683 0.455
0.774 0.314 0.548
0.774 0.314 0.040
0.000 0.500 0.000
0.500 0.500 0.000
0.500 0.500 0.500
0.000 0.500 0.500
0.500 0.000 0.000
0.500 0.000 0.500
0.000 0.000 0.000
0.000 0.000 0.500
```

Values from the calculation:
- size of the total moment (μB/atom) = 0.000
- E_form (uncorrected) (meV per atom) = -849
- VASP energy (eV/atom) = -5.692

Here is a geometry-optimized Pm4OsSI2 structure from Alexandria. Energies are from PBE-GGA.

POSCAR file:
```
Pm4OsSI2
1.0
4.123 0.000 0.000
0.000 7.479 0.214
0.000 -2.550 7.763
Pm Os S I
4 1 1 2
Direct
0.500 0.238 0.184
0.500 0.762 0.816
0.000 0.287 0.813
0.000 0.713 0.187
0.500 0.500 0.000
0.000 0.000 0.000
0.500 0.000 0.500
0.000 0.500 0.500
```

Values from the calculation:
- size of the total moment (μB/atom) = 0.000
- E_form (uncorrected) (meV per atom) = -1016
- VASP energy (eV/atom) = -5.699

Here is a geometry-optimized Pm4OsSeI2 structure from Alexandria. Energies are from PBE-GGA.

POSCAR file:
```
Pm4OsSeI2
1.0
-0.804 0.977 -3.978
1.587 -7.215 -2.093
-7.990 0.211 1.666
Pm Os Se I
4 1 1 2
Direct
0.500 0.254 0.190
0.500 0.746 0.810
0.000 0.295 0.813
0.000 0.705 0.187
0.500 0.500 0.000
0.000 0.000 0.000
0.500 0.000 0.500
0.000 0.500 0.500
```

Values from the calculation:
- size of the total moment (μB/atom) = 0.000
- E_form (uncorrected) (meV per atom) = -982
- VASP energy (eV/atom) = -5.584